Computed, not measured: a relaxed YReHg2 crystal at the PBE level of DFT.

abc: 4.906 4.906 4.906
angles: 60.00 60.00 60.00
Atoms (fractional coordinates):
1 Y 0.000 0.000 0.000
2 Re 0.500 0.500 0.500
3 Hg 0.250 0.250 0.250
4 Hg 0.750 0.750 0.750

Space group   Fm-3m, No. 225
DFT formation energy   0.40 eV/atom
ρ   13.45 g/cm³
Energy above the lowest structure with this stoichiometry   116 meV per atom